(1)
Below is crystalline DySi2Tc at its relaxed geometry, with properties calculated at the GGA-PBE level.

abc: 4.051 4.051 10.101
angles: 90.00 90.00 120.00
Fractional coordinates of all 8 atoms:
Dy 0.333 0.667 0.250
Dy 0.667 0.333 0.750
Si 0.333 0.667 0.577
Si 0.333 0.667 0.923
Si 0.667 0.333 0.077
Si 0.667 0.333 0.423
Tc 0.000 0.000 0.000
Tc 0.000 0.000 0.500

Values from the calculation:
ΔE_f (raw) ... -232 kJ/mol of formula units
Fermi-level density of states ... 5.6 states/eV per cell
E ... -0.5185 Ry/atom

(2)
Below is crystalline KCd2CoBi at its relaxed geometry, with properties calculated at the GGA-PBE level.

abc: 5.204 5.204 4.996
angles: 90.00 90.00 90.00
Fractional coordinates of all 5 atoms:
K 0.000 0.000 0.000
Cd 0.000 0.500 0.500
Cd 0.500 0.000 0.500
Co 0.500 0.500 0.500
Bi 0.500 0.500 0.000

Values from the calculation:
E_form ... 0.036 eV per atom
Fermi-level density of states ... 3.0 states/eV per cell
E ... -0.2019 Ry/atom

(3)
Below is crystalline PmCN2F at its relaxed geometry, with properties calculated at the GGA-PBE level.

abc: 5.510 3.681 6.628
angles: 90.00 98.05 90.00
Fractional coordinates of all 10 atoms:
Pm 0.151 0.250 0.270
Pm 0.849 0.750 0.730
C 0.348 0.250 0.833
C 0.652 0.750 0.167
N 0.138 0.250 0.883
N 0.447 0.750 0.218
N 0.553 0.250 0.782
N 0.862 0.750 0.117
F 0.167 0.750 0.514
F 0.833 0.250 0.486

Values from the calculation:
ΔE_f (raw) ... -795 kJ/mol of formula units
Fermi-level density of states ... 0.0 states/eV per cell
E ... -0.5989 Ry/atom

(4)
Below is crystalline KFe2P at its relaxed geometry, with properties calculated at the GGA-PBE level.

abc: 3.991 3.991 6.447
angles: 107.50 107.50 59.96
Fractional coordinates of all 4 atoms:
K 0.000 0.000 0.000
Fe 0.177 0.177 0.531
Fe 0.823 0.823 0.469
P 0.500 0.500 0.500

Values from the calculation:
E_form ... -0.045 eV per atom
Fermi-level density of states ... 1.8 states/eV per cell
E ... -0.4339 Ry/atom

Which of these has the lowest Fermi-level density of states?
PmCN2F

What is the formula in the fourth record?
KFe2P

Among the records above, which one has the highest Fermi-level density of states?
DySi2Tc

Copy entry 2 word for word.
Below is crystalline KCd2CoBi at its relaxed geometry, with properties calculated at the GGA-PBE level.

abc: 5.204 5.204 4.996
angles: 90.00 90.00 90.00
Fractional coordinates of all 5 atoms:
K 0.000 0.000 0.000
Cd 0.000 0.500 0.500
Cd 0.500 0.000 0.500
Co 0.500 0.500 0.500
Bi 0.500 0.500 0.000

Values from the calculation:
E_form ... 0.036 eV per atom
Fermi-level density of states ... 3.0 states/eV per cell
E ... -0.2019 Ry/atom